No. 1
# LaCo2Cu

A geometry-optimized LaCo2Cu structure (PBE-GGA, Alexandria).

magnetization = 2.3 μB/f.u.
energy of formation = -0.07 eV per atom
uncorrected energy = -23.5 eV for the cell shown
DOS(E_F) = 0.5947 states/eV/atom

```
LaCo2Cu
1.0
4.0855 -0.0062 -0.0372
2.0490 3.5345 -0.0372
2.0849 1.1991 4.9645
Cu Co La
1 2 1
Direct
0.4498 0.4498 0.6500
0.7365 0.7365 0.7902
0.0596 0.0596 0.8210
0.2541 0.2541 0.2387
```

No. 2
# TaCrSb2

A geometry-optimized TaCrSb2 structure (PBE-GGA, Alexandria).

magnetization = 5.0 μB/f.u.
offset from the most stable computed form = 0.6939 eV/atom
raw formation energy = 17.70 kcal/mol of atoms
uncorrected energy = -53.3 eV for the cell shown
DOS(E_F) = 0.4747 states/eV/atom

```
TaCrSb2
1.0
-4.8754 -1.2053 -3.9268
-1.1648 -5.4387 3.1155
-6.8236 -0.3285 3.3979
Sb Cr Ta
4 2 2
Direct
0.3750 0.3710 0.7500
0.8750 0.8790 0.7500
0.1210 0.6250 0.2500
0.6290 0.1250 0.2500
0.5000 0.5000 0.0000
0.2500 0.7500 0.5000
0.7500 0.2500 0.5000
0.0000 0.0000 0.0000
```

Q: What is the DOS(E_F) in the second record?
A: 0.4747 states/eV/atom

Q: Which of these has the highest DOS(E_F)?
A: LaCo2Cu

Q: Among the records above, which one has the lowest magnetization?
A: LaCo2Cu

Repeat the second record exactly.
# TaCrSb2

A geometry-optimized TaCrSb2 structure (PBE-GGA, Alexandria).

magnetization = 5.0 μB/f.u.
offset from the most stable computed form = 0.6939 eV/atom
raw formation energy = 17.70 kcal/mol of atoms
uncorrected energy = -53.3 eV for the cell shown
DOS(E_F) = 0.4747 states/eV/atom

```
TaCrSb2
1.0
-4.8754 -1.2053 -3.9268
-1.1648 -5.4387 3.1155
-6.8236 -0.3285 3.3979
Sb Cr Ta
4 2 2
Direct
0.3750 0.3710 0.7500
0.8750 0.8790 0.7500
0.1210 0.6250 0.2500
0.6290 0.1250 0.2500
0.5000 0.5000 0.0000
0.2500 0.7500 0.5000
0.7500 0.2500 0.5000
0.0000 0.0000 0.0000
```